No. 1
Rb2Hg2Cl | meta-GGA SCAN | single point on PBEsol structure

Lattice parameters (Å, degrees): 4.1081 4.1081 19.7469 90.00 90.00 90.00
Space group I4/mmm (No. 139)
Symmetry-distinct sites (fractional):
Rb (0.0000, 0.0000, 0.0937)
Hg (0.0000, 0.5000, 0.2500)
Cl (0.0000, 0.0000, 0.5000)

## Properties
E = -38.139 eV per atom

No. 2
Rb2HgSbCl6 | meta-GGA SCAN | single point on PBEsol structure

Lattice parameters (Å, degrees): 10.8006 10.8006 10.8006 90.00 90.00 90.00
Space group Fm-3m (No. 225)
Symmetry-distinct sites (fractional):
Rb (0.2500, 0.2500, 0.2500)
Hg (0.0000, 0.0000, 0.0000)
Sb (0.0000, 0.0000, 0.5000)
Cl (0.0000, 0.0000, 0.2581)

## Properties
E = -20.773 eV per atom

E of number 1 (Rb2Hg2Cl)?
-38.139 eV per atom

Repeat the second record exactly.
Rb2HgSbCl6 | meta-GGA SCAN | single point on PBEsol structure

Lattice parameters (Å, degrees): 10.8006 10.8006 10.8006 90.00 90.00 90.00
Space group Fm-3m (No. 225)
Symmetry-distinct sites (fractional):
Rb (0.2500, 0.2500, 0.2500)
Hg (0.0000, 0.0000, 0.0000)
Sb (0.0000, 0.0000, 0.5000)
Cl (0.0000, 0.0000, 0.2581)

## Properties
E = -20.773 eV per atom